Pr2GaSi: relaxed, GGA-PBE.

Cell and atoms, written as POSCAR:
```
Pr2GaSi
1.0
2.1670 1.2511 7.2081
-2.1670 1.2511 7.2081
0.0000 -2.5022 7.2081
Pr Ga Si
2 1 1
direct
0.2412 0.2412 0.2412
0.7588 0.7588 0.7588
0.0000 0.0000 0.0000
0.5000 0.5000 0.5000
```

Calculated values
The space group is R-3m (166). As for the formation energy without anion corrections: -398 meV/atom.



Y3AuO: relaxed, GGA-PBE.

Cell and atoms, written as POSCAR:
```
Y3AuO
1.0
4.6270 -6.3717 0.0000
4.6270 6.3717 0.0000
0.0000 0.0000 3.7304
Y Au O
6 2 2
direct
0.1798 0.4414 0.5000
0.1860 0.8140 0.0000
0.4414 0.1798 0.5000
0.5586 0.8202 0.5000
0.8140 0.1860 0.0000
0.8202 0.5586 0.5000
0.0000 0.0000 0.5000
0.5000 0.5000 0.0000
0.0000 0.5000 0.0000
0.5000 0.0000 0.0000
```

Calculated values
The space group is Cmmm (65). As for the formation energy without anion corrections: -1432 meV/atom.



KTlSb2: relaxed, GGA-PBE.

Cell and atoms, written as POSCAR:
```
KTlSb2
1.0
-4.4764 4.4764 3.3680
4.4764 -4.4764 3.3680
4.4764 4.4764 -3.3680
K Tl Sb
2 2 4
direct
0.0000 0.0000 0.0000
0.7500 0.2500 0.5000
0.2500 0.7500 0.5000
0.5000 0.5000 0.0000
0.1713 0.6250 0.0463
0.3750 0.4213 0.5463
0.5787 0.1250 0.9537
0.8750 0.8287 0.4537
```

Calculated values
The space group is I-42d (122). The calculation puts the offset from the most stable computed form at 0.1708 eV/atom. As for the formation energy without anion corrections: -38 meV/atom.



Results for total DFT energy (no corrections): -4.901, -6.958, -2.965 (in eV/atom, following the order of the records).